No. 1
Compound: Ce2Ag2Sn
Source: the Alexandria database
Functional: PBE-GGA
Structure: relaxed

The structure in POSCAR format:
```
Ce2Ag2Sn
1.0
4.808 0.000 0.000
0.000 15.140 0.000
0.000 0.000 3.375
Ce Ag Sn
4 4 2
Direct
0.000 0.115 0.000 Ce
0.000 0.885 0.000 Ce
0.500 0.385 0.000 Ce
0.500 0.615 0.000 Ce
0.000 0.299 0.500 Ag
0.000 0.701 0.500 Ag
0.500 0.201 0.500 Ag
0.500 0.799 0.500 Ag
0.000 0.500 0.500 Sn
0.500 0.000 0.500 Sn
```

Spin magnetization: 0.48 μB/atom
ΔE_f: -1.8 eV per formula unit
Uncorrected energy: -4.666 eV per atom
Symmetry: Cmmm (65)

No. 2
Compound: AcAl4Ni2
Source: the Alexandria database
Functional: PBE-GGA
Structure: relaxed

The structure in POSCAR format:
```
AcAl4Ni2
1.0
7.419 0.000 0.000
0.000 9.758 0.000
-3.198 0.000 3.695
Ac Al Ni
2 8 4
Direct
0.000 0.000 0.000 Ac
0.500 0.500 0.000 Ac
0.249 0.321 0.249 Al
0.249 0.679 0.249 Al
0.251 0.179 0.751 Al
0.251 0.821 0.751 Al
0.749 0.179 0.249 Al
0.749 0.821 0.249 Al
0.751 0.321 0.751 Al
0.751 0.679 0.751 Al
0.001 0.500 0.251 Ni
0.499 0.000 0.749 Ni
0.501 0.000 0.251 Ni
0.999 0.500 0.749 Ni
```

Spin magnetization: 0.00 μB/atom
ΔE_f: -1.1 eV per formula unit
Uncorrected energy: -4.531 eV per atom
Symmetry: C2/m (12)
Distance to the lowest polymorph of the same formula: 166.1 kJ/mol of formula units

No. 3
Compound: CeI2F
Source: the Alexandria database
Functional: PBE-GGA
Structure: relaxed

The structure in POSCAR format:
```
CeI2F
1.0
7.392 0.000 0.000
0.000 4.268 0.000
-2.444 0.000 8.373
Ce I F
2 4 2
Direct
0.000 0.000 0.000 Ce
0.500 0.500 0.000 Ce
0.079 0.500 0.735 I
0.254 0.500 0.265 I
0.579 0.000 0.735 I
0.754 0.000 0.265 I
0.333 0.000 0.000 F
0.833 0.500 0.000 F
```

Uncorrected formation energy: -2251 meV per atom
Spin magnetization: 0.25 μB/atom
Uncorrected energy: -4.977 eV per atom
Symmetry: Cm (8)

No. 4
Compound: Ho5Au2
Source: the Alexandria database
Functional: PBE-GGA
Structure: relaxed

The structure in POSCAR format:
```
Ho5Au2
1.0
-3.565 7.760 3.392
3.565 -7.760 3.392
3.565 7.760 -3.392
Ho Au
10 4
Direct
0.025 0.250 0.775 Ho
0.089 0.639 0.728 Ho
0.250 0.250 0.000 Ho
0.411 0.139 0.551 Ho
0.475 0.250 0.225 Ho
0.525 0.750 0.775 Ho
0.589 0.861 0.449 Ho
0.750 0.750 0.000 Ho
0.911 0.361 0.272 Ho
0.975 0.750 0.225 Ho
0.116 0.247 0.363 Au
0.384 0.747 0.131 Au
0.616 0.253 0.869 Au
0.884 0.753 0.637 Au
```

Spin magnetization: 0.00 μB/atom
ΔE_f: -3.2 eV per formula unit
Uncorrected energy: -4.665 eV per atom
Symmetry: Ibam (72)
Distance to the lowest polymorph of the same formula: 37.6 kJ/mol of formula units

No. 5
Compound: FeAs2Br
Source: the Alexandria database
Functional: PBE-GGA
Structure: relaxed

The structure in POSCAR format:
```
FeAs2Br
1.0
5.994 0.000 0.000
0.000 5.994 0.000
0.000 0.000 11.136
Fe As Br
4 8 4
Direct
0.000 0.000 0.000 Fe
0.000 0.500 0.250 Fe
0.500 0.000 0.750 Fe
0.500 0.500 0.500 Fe
0.126 0.250 0.125 As
0.250 0.626 0.375 As
0.250 0.874 0.875 As
0.374 0.250 0.625 As
0.626 0.750 0.625 As
0.750 0.126 0.875 As
0.750 0.374 0.375 As
0.874 0.750 0.125 As
0.000 0.000 0.500 Br
0.000 0.500 0.750 Br
0.500 0.000 0.250 Br
0.500 0.500 0.000 Br
```

Uncorrected formation energy: 187 meV per atom
Spin magnetization: 0.00 μB/atom
Uncorrected energy: -4.672 eV per atom
Symmetry: I-42d (122)
Distance to the lowest polymorph of the same formula: 83.6 kJ/mol of formula units

No. 6
Compound: LiTbSc2Se4
Source: the Alexandria database
Functional: PBE-GGA
Structure: relaxed

The structure in POSCAR format:
```
LiTbSc2Se4
1.0
6.792 0.000 0.000
0.000 3.923 0.000
-2.245 0.000 6.503
Li Tb Sc Se
1 1 2 4
Direct
0.000 0.000 0.000 Li
0.500 0.500 0.000 Tb
0.000 0.500 0.500 Sc
0.500 0.000 0.500 Sc
0.238 0.000 0.740 Se
0.246 0.500 0.258 Se
0.754 0.500 0.742 Se
0.762 0.000 0.260 Se
```

Uncorrected formation energy: -1661 meV per atom
Spin magnetization: 0.00 μB/atom
Uncorrected energy: -5.805 eV per atom
Symmetry: P2/m (10)

No. 7
Compound: HoBiIrPd
Source: the Alexandria database
Functional: PBE-GGA
Structure: relaxed

The structure in POSCAR format:
```
HoBiIrPd
1.0
6.876 0.000 0.000
0.000 6.876 0.000
0.000 0.000 6.876
Ho Bi Ir Pd
4 4 4 4
Direct
0.000 0.000 0.000 Ho
0.000 0.500 0.500 Ho
0.500 0.000 0.500 Ho
0.500 0.500 0.000 Ho
0.000 0.000 0.500 Bi
0.000 0.500 0.000 Bi
0.500 0.000 0.000 Bi
0.500 0.500 0.500 Bi
0.250 0.250 0.250 Ir
0.250 0.750 0.750 Ir
0.750 0.250 0.750 Ir
0.750 0.750 0.250 Ir
0.250 0.250 0.750 Pd
0.250 0.750 0.250 Pd
0.750 0.250 0.250 Pd
0.750 0.750 0.750 Pd
```

Spin magnetization: 0.00 μB/atom
ΔE_f: -2.0 eV per formula unit
Uncorrected energy: -6.126 eV per atom
Symmetry: F-43m (216)

No. 8
Compound: K2AgClF3
Source: the Alexandria database
Functional: PBE-GGA
Structure: relaxed

The structure in POSCAR format:
```
K2AgClF3
1.0
4.442 0.000 0.000
0.000 4.844 0.000
0.000 0.000 14.107
K Ag Cl F
4 2 2 6
Direct
0.000 0.000 0.156 K
0.000 0.000 0.844 K
0.500 0.500 0.344 K
0.500 0.500 0.656 K
0.000 0.000 0.500 Ag
0.500 0.500 0.000 Ag
0.000 0.500 0.500 Cl
0.500 0.000 0.000 Cl
0.000 0.000 0.335 F
0.000 0.000 0.665 F
0.000 0.500 0.000 F
0.500 0.000 0.500 F
0.500 0.500 0.165 F
0.500 0.500 0.835 F
```

Uncorrected formation energy: -1830 meV per atom
Spin magnetization: 0.00 μB/atom
Uncorrected energy: -3.617 eV per atom
Symmetry: Immm (71)

Repeat the eighth record exactly.
Compound: K2AgClF3
Source: the Alexandria database
Functional: PBE-GGA
Structure: relaxed

The structure in POSCAR format:
```
K2AgClF3
1.0
4.442 0.000 0.000
0.000 4.844 0.000
0.000 0.000 14.107
K Ag Cl F
4 2 2 6
Direct
0.000 0.000 0.156 K
0.000 0.000 0.844 K
0.500 0.500 0.344 K
0.500 0.500 0.656 K
0.000 0.000 0.500 Ag
0.500 0.500 0.000 Ag
0.000 0.500 0.500 Cl
0.500 0.000 0.000 Cl
0.000 0.000 0.335 F
0.000 0.000 0.665 F
0.000 0.500 0.000 F
0.500 0.000 0.500 F
0.500 0.500 0.165 F
0.500 0.500 0.835 F
```

Uncorrected formation energy: -1830 meV per atom
Spin magnetization: 0.00 μB/atom
Uncorrected energy: -3.617 eV per atom
Symmetry: Immm (71)

Q: Look up the spin magnetization of the third one.
A: 0.25 μB/atom

Q: What is the spin magnetization in the first record?
A: 0.48 μB/atom